Entry from the Alexandria database: a geometry-optimized MgBe2In structure (PBE).

Cell lengths 7.2111, 7.2111, 5.7880 Å; angles 51.47, 51.47, 90.00 degrees
Last column: nearest neighbours and their distance in Å.
Sites, in units of the cell vectors:
Be1 0.6408 0.1250 0.2500  2 In 2.56, 2 Mg 2.72, 2 Be 2.75
Be2 0.1092 0.6250 0.2500  2 In 2.56, 2 Mg 2.72, 2 Be 2.75
Be3 0.3750 0.3592 0.7500  2 In 2.56, 2 Mg 2.72, 2 Be 2.75
Be4 0.8750 0.8908 0.7500  2 In 2.56, 2 Mg 2.72, 2 Be 2.75
Mg1 0.5000 0.5000 0.0000  4 Be 2.72, 2 In 2.74
Mg2 0.2500 0.7500 0.5000  4 Be 2.72, 2 In 2.74
In1 0.0000 0.0000 0.0000  4 Be 2.56, 2 Mg 2.74
In2 0.7500 0.2500 0.5000  4 Be 2.56, 2 Mg 2.74

SG: I-42d

***

Entry from the Alexandria database: a geometry-optimized MgBe2In structure (PBE).

Cell lengths 2.8981, 2.8981, 7.6969 Å; angles 90.00, 90.00, 90.01 degrees
Last column: nearest neighbours and their distance in Å.
Sites, in units of the cell vectors:
Be1 0.0000 0.0000 0.9931  4 Mg 2.77-2.78, 4 In 2.85, 4 Be 2.90
Be2 0.0000 0.0000 0.5069  4 Mg 2.77-2.78, 4 In 2.85, 4 Be 2.90
Mg1 0.5000 0.5000 0.7500  8 Be 2.77-2.78, 4 Mg 2.90
In1 0.5000 0.5000 0.2500  8 Be 2.85, 4 In 2.90

SG: P4/mmm

***

Energy of formation readings, ordered: 2.97; 2.12 eV/f.u.
Energy above the lowest structure with this stoichiometry readings, ordered: 469; 256 meV per atom